No. 1
Computed, not measured: a relaxed MgNi2Sn crystal at the PBE level of DFT.

Results
- SG = I-42d, No. 122
- DOS at the Fermi energy (states/eV/f.u.) = 1.93
- total energy (eV per atom) = -4.1212
- relative energy among the computed polymorphs (eV/atom) = 0.449
- formation energy from the elements (eV per atom) = 0.17

Cell lengths 6.9247, 6.9247, 5.6373 Å; angles 52.11, 52.11, 90.00 degrees
Sites, in units of the cell vectors:
Ni1 0.6294 0.1250 0.2500
Ni2 0.1206 0.6250 0.2500
Ni3 0.3750 0.3706 0.7500
Ni4 0.8750 0.8794 0.7500
Mg1 0.5000 0.5000 0.0000
Mg2 0.2500 0.7500 0.5000
Sn1 0.0000 0.0000 0.0000
Sn2 0.7500 0.2500 0.5000


No. 2
Computed, not measured: a relaxed MgNiSn2 crystal at the PBE level of DFT.

Results
- SG = P4/mmm, No. 123
- DOS at the Fermi energy (states/eV/f.u.) = 2.29
- total energy (eV per atom) = -3.9140
- formation energy from the elements (eV per atom) = -0.07

Cell lengths 3.2000, 3.2000, 7.9289 Å; angles 90.00, 90.00, 90.00 degrees
Sites, in units of the cell vectors:
Ni1 0.5000 0.5000 0.0000
Mg1 0.5000 0.5000 0.5000
Sn1 0.0000 0.0000 0.7942
Sn2 0.0000 0.0000 0.2058


No. 3
Computed, not measured: a relaxed Mg12Ni6Sn crystal at the PBE level of DFT.

Results
- SG = Im-3, No. 204
- DOS at the Fermi energy (states/eV/f.u.) = 10.97
- total energy (eV per atom) = -3.1129
- formation energy from the elements (eV per atom) = -0.07

Cell lengths 7.6429, 7.6429, 7.6429 Å; angles 109.47, 109.47, 109.47 degrees
Sites, in units of the cell vectors:
Mg1 0.2929 0.1082 0.8152
Mg2 0.2929 0.4777 0.1848
Mg3 0.7071 0.5223 0.8152
Mg4 0.7071 0.8918 0.1848
Mg5 0.1082 0.8152 0.2929
Mg6 0.4777 0.1848 0.2929
Mg7 0.5223 0.8152 0.7071
Mg8 0.8918 0.1848 0.7071
Mg9 0.8152 0.2929 0.1082
Mg10 0.1848 0.2929 0.4777
Mg11 0.8152 0.7071 0.5223
Mg12 0.1848 0.7071 0.8918
Ni1 0.3697 0.5000 0.8697
Ni2 0.6303 0.5000 0.1303
Ni3 0.5000 0.8697 0.3697
Ni4 0.5000 0.1303 0.6303
Ni5 0.8697 0.3697 0.5000
Ni6 0.1303 0.6303 0.5000
Sn1 0.0000 0.0000 0.0000


No. 4
Computed, not measured: a relaxed MgNi6Sn crystal at the PBE level of DFT.

Results
- SG = Cmmm, No. 65
- DOS at the Fermi energy (states/eV/f.u.) = 7.96
- total energy (eV per atom) = -5.1614
- relative energy among the computed polymorphs (eV/atom) = 0.010
- formation energy from the elements (eV per atom) = -0.13

Cell lengths 6.3943, 6.3943, 10.4415 Å; angles 90.00, 90.00, 109.40 degrees
Sites, in units of the cell vectors:
Mg1 0.7495 0.2505 0.0000
Mg2 0.2505 0.7495 0.0000
Mg3 0.5000 0.5000 0.7525
Mg4 0.5000 0.5000 0.2475
Ni1 0.7483 0.2517 0.7527
Ni2 0.1254 0.3780 0.8772
Ni3 0.8746 0.6220 0.8772
Ni4 0.2517 0.7483 0.7527
Ni5 0.6220 0.8746 0.8772
Ni6 0.3780 0.1254 0.8772
Ni7 0.5000 0.5000 0.5000
Ni8 0.8737 0.6258 0.6268
Ni9 0.6258 0.8737 0.6268
Ni10 0.7483 0.2517 0.2473
Ni11 0.1263 0.3742 0.3732
Ni12 0.8737 0.6258 0.3732
Ni13 0.2517 0.7483 0.2473
Ni14 0.6258 0.8737 0.3732
Ni15 0.3742 0.1263 0.3732
Ni16 0.5000 0.5000 0.0000
Ni17 0.8746 0.6220 0.1228
Ni18 0.6220 0.8746 0.1228
Ni19 0.0000 0.0000 0.5000
Ni20 0.3742 0.1263 0.6268
Ni21 0.1263 0.3742 0.6268
Ni22 0.0000 0.0000 0.0000
Ni23 0.3780 0.1254 0.1228
Ni24 0.1254 0.3780 0.1228
Sn1 0.7477 0.2523 0.5000
Sn2 0.2523 0.7477 0.5000
Sn3 0.0000 0.0000 0.7539
Sn4 0.0000 0.0000 0.2461


No. 5
Computed, not measured: a relaxed MgNiSn2 crystal at the PBE level of DFT.

Results
- SG = I-42d, No. 122
- DOS at the Fermi energy (states/eV/f.u.) = 3.33
- total energy (eV per atom) = -3.7341
- formation energy from the elements (eV per atom) = 0.11

Cell lengths 4.4442, 4.4442, 9.5851 Å; angles 76.60, 76.60, 90.00 degrees
Sites, in units of the cell vectors:
Ni1 0.0000 0.0000 0.0000
Ni2 0.7500 0.2500 0.5000
Mg1 0.5000 0.5000 0.0000
Mg2 0.2500 0.7500 0.5000
Sn1 0.6565 0.1250 0.2500
Sn2 0.0935 0.6250 0.2500
Sn3 0.3750 0.3435 0.7500
Sn4 0.8750 0.9065 0.7500


No. 6
Computed, not measured: a relaxed MgNi3Sn2 crystal at the PBE level of DFT.

Results
- SG = C2/c, No. 15
- DOS at the Fermi energy (states/eV/f.u.) = 2.74
- total energy (eV per atom) = -4.6593
- formation energy from the elements (eV per atom) = -0.17

Cell lengths 4.4070, 7.6607, 7.6607 Å; angles 119.19, 106.75, 106.75 degrees
Sites, in units of the cell vectors:
Mg1 0.2500 0.4251 0.5749
Mg2 0.7500 0.5749 0.4251
Ni1 0.5299 0.8678 0.6933
Ni2 0.0299 0.6933 0.8678
Ni3 0.5000 0.5000 0.0000
Ni4 0.4701 0.1322 0.3067
Ni5 0.0000 0.0000 0.5000
Ni6 0.9701 0.3067 0.1322
Sn1 0.2500 0.0872 0.9128
Sn2 0.2500 0.7315 0.2685
Sn3 0.7500 0.9128 0.0872
Sn4 0.7500 0.2685 0.7315


No. 7
Computed, not measured: a relaxed Mg4NiSn2 crystal at the PBE level of DFT.

Results
- SG = Cmmm, No. 65
- DOS at the Fermi energy (states/eV/f.u.) = 2.21
- total energy (eV per atom) = -2.9676
- formation energy from the elements (eV per atom) = -0.09

Cell lengths 4.3257, 5.9029, 5.9029 Å; angles 90.97, 90.00, 90.00 degrees
Sites, in units of the cell vectors:
Mg1 0.0000 0.7949 0.7949
Mg2 0.0000 0.2051 0.2051
Mg3 0.5000 0.0000 0.5000
Mg4 0.5000 0.5000 0.0000
Ni1 0.5000 0.5000 0.5000
Sn1 0.0000 0.7078 0.2922
Sn2 0.0000 0.2922 0.7078


No. 8
Computed, not measured: a relaxed Mg2NiSn2 crystal at the PBE level of DFT.

Results
- SG = P2_1/m, No. 11
- DOS at the Fermi energy (states/eV/f.u.) = 1.70
- total energy (eV per atom) = -3.5794
- relative energy among the computed polymorphs (eV/atom) = 0.001
- formation energy from the elements (eV per atom) = -0.18

Cell lengths 4.3762, 5.9912, 9.3711 Å; angles 118.01, 90.00, 90.00 degrees
Sites, in units of the cell vectors:
Mg1 0.7500 0.3955 0.8749
Mg2 0.7500 0.2982 0.4039
Mg3 0.2500 0.7018 0.5961
Mg4 0.2500 0.6045 0.1251
Ni1 0.2500 0.1342 0.8625
Ni2 0.7500 0.8658 0.1375
Sn1 0.2500 0.2095 0.6124
Sn2 0.2500 0.1158 0.1371
Sn3 0.7500 0.8842 0.8629
Sn4 0.7500 0.7905 0.3876


No. 9
Computed, not measured: a relaxed MgNiSn2 crystal at the PBE level of DFT.

Results
- SG = R3m, No. 160
- DOS at the Fermi energy (states/eV/f.u.) = 1.91
- total energy (eV per atom) = -3.9694
- formation energy from the elements (eV per atom) = -0.12

Cell lengths 4.3084, 4.3084, 5.9502 Å; angles 68.77, 68.77, 60.00 degrees
Sites, in units of the cell vectors:
Mg1 0.4990 0.4990 0.5030
Ni1 0.6661 0.6661 0.0016
Sn1 0.0619 0.0619 0.8142
Sn2 0.2729 0.2729 0.1813


No. 10
Computed, not measured: a relaxed MgNi3Sn5 crystal at the PBE level of DFT.

Results
- SG = C2/m, No. 12
- DOS at the Fermi energy (states/eV/f.u.) = 3.76
- total energy (eV per atom) = -4.4513
- formation energy from the elements (eV per atom) = -0.12

Cell lengths 7.1169, 7.1169, 9.4425 Å; angles 66.09, 66.09, 75.56 degrees
Sites, in units of the cell vectors:
Mg1 0.1006 0.1006 0.6869
Mg2 0.8994 0.8994 0.3131
Ni1 0.6676 0.6676 0.8341
Ni2 0.6589 0.6589 0.3315
Ni3 0.0000 0.0000 0.0000
Ni4 0.0000 0.0000 0.5000
Ni5 0.3324 0.3324 0.1659
Ni6 0.3411 0.3411 0.6685
Sn1 0.9470 0.3761 0.3401
Sn2 0.2835 0.7165 0.0000
Sn3 0.7685 0.7685 0.0189
Sn4 0.4206 0.4206 0.3628
Sn5 0.5794 0.5794 0.6372
Sn6 0.2315 0.2315 0.9811
Sn7 0.3761 0.9470 0.3401
Sn8 0.7165 0.2835 0.0000
Sn9 0.0530 0.6239 0.6599
Sn10 0.6239 0.0530 0.6599


No. 11
Computed, not measured: a relaxed Mg3Ni2Sn2 crystal at the PBE level of DFT.

Results
- SG = C2/m, No. 12
- DOS at the Fermi energy (states/eV/f.u.) = 2.93
- total energy (eV per atom) = -3.6984
- formation energy from the elements (eV per atom) = -0.22

Cell lengths 4.4962, 4.4962, 7.7270 Å; angles 89.64, 107.43, 119.74 degrees
Sites, in units of the cell vectors:
Mg1 0.0000 0.0000 0.0000
Mg2 0.7293 0.8637 0.5930
Mg3 0.2707 0.1363 0.4070
Ni1 0.4761 0.7420 0.2182
Ni2 0.5239 0.2580 0.7818
Sn1 0.2008 0.5981 0.7988
Sn2 0.7992 0.4019 0.2012


No. 12
Computed, not measured: a relaxed Mg2Ni2Sn crystal at the PBE level of DFT.

Results
- SG = P4/mbm, No. 127
- DOS at the Fermi energy (states/eV/f.u.) = 2.99
- total energy (eV per atom) = -3.7194
- formation energy from the elements (eV per atom) = 0.03

Cell lengths 7.4433, 7.4433, 3.0062 Å; angles 90.00, 90.00, 90.00 degrees
Sites, in units of the cell vectors:
Ni1 0.1601 0.6601 0.5000
Ni2 0.6601 0.8399 0.5000
Ni3 0.8399 0.3399 0.5000
Ni4 0.3399 0.1601 0.5000
Mg1 0.3668 0.8668 0.0000
Mg2 0.8668 0.6332 0.0000
Mg3 0.6332 0.1332 0.0000
Mg4 0.1332 0.3668 0.0000
Sn1 0.0000 0.0000 0.0000
Sn2 0.5000 0.5000 0.0000


- Which of these has the lowest formation energy from the elements?
  Mg3Ni2Sn2


- total energy of number 10 (MgNi3Sn5)?
  -4.4513 eV per atom